Compound: HoCuHg2
Source: Alexandria via LeMat-Bulk
Functional: PBE
Structure: optimized geometry

Cell lengths 5.508, 5.508, 7.948 Å; angles 90.00, 90.00, 135.79 degrees
Atoms (fractional coordinates):
Ho (0.067, 0.933, 0.750)
Ho (0.933, 0.067, 0.250)
Cu (0.228, 0.772, 0.250)
Cu (0.772, 0.228, 0.750)
Hg (0.360, 0.640, 0.550)
Hg (0.360, 0.640, 0.950)
Hg (0.640, 0.360, 0.050)
Hg (0.640, 0.360, 0.450)

As for the space group: Cmcm. As for the calculated formation energy: -265 meV/atom.



Compound: HoCuHg
Source: Alexandria via LeMat-Bulk
Functional: PBE
Structure: optimized geometry

Cell lengths 13.135, 3.763, 7.562 Å; angles 90.00, 90.00, 90.00 degrees
Atoms (fractional coordinates):
Ho (0.048, 0.000, 0.237)
Ho (0.250, 0.000, 0.844)
Ho (0.452, 0.000, 0.237)
Ho (0.548, 0.000, 0.763)
Ho (0.750, 0.000, 0.156)
Ho (0.952, 0.000, 0.763)
Cu (0.089, 0.500, 0.945)
Cu (0.250, 0.000, 0.446)
Cu (0.411, 0.500, 0.945)
Cu (0.589, 0.500, 0.055)
Cu (0.750, 0.000, 0.554)
Cu (0.911, 0.500, 0.055)
Hg (0.115, 0.500, 0.577)
Hg (0.250, 0.500, 0.183)
Hg (0.385, 0.500, 0.577)
Hg (0.615, 0.500, 0.423)
Hg (0.750, 0.500, 0.817)
Hg (0.885, 0.500, 0.423)

As for the space group: Pmma. As for the calculated formation energy: -354 meV/atom.



Compound: HoCu9Hg2
Source: Alexandria via LeMat-Bulk
Functional: PBE
Structure: optimized geometry

Cell lengths 8.514, 8.514, 8.514 Å; angles 34.82, 34.82, 34.82 degrees
Atoms (fractional coordinates):
Ho (0.000, 0.000, 0.000)
Cu (0.081, 0.585, 0.585)
Cu (0.333, 0.333, 0.333)
Cu (0.415, 0.415, 0.919)
Cu (0.415, 0.919, 0.415)
Cu (0.500, 0.500, 0.500)
Cu (0.585, 0.081, 0.585)
Cu (0.585, 0.585, 0.081)
Cu (0.667, 0.667, 0.667)
Cu (0.919, 0.415, 0.415)
Hg (0.140, 0.140, 0.140)
Hg (0.860, 0.860, 0.860)

As for the space group: R-3m. As for the calculated formation energy: -67 meV/atom.



Compound: Ho2CuHg3
Source: Alexandria via LeMat-Bulk
Functional: PBE
Structure: optimized geometry

Cell lengths 3.448, 4.757, 8.316 Å; angles 90.00, 90.00, 90.00 degrees
Atoms (fractional coordinates):
Ho (0.000, 0.000, 0.000)
Ho (0.000, 0.500, 0.471)
Cu (0.500, 0.000, 0.308)
Hg (0.500, 0.000, 0.628)
Hg (0.500, 0.500, 0.162)
Hg (0.500, 0.500, 0.817)

As for the space group: Pmm2. As for the calculated formation energy: -344 meV/atom.



Compound: HoCuHg2
Source: Alexandria via LeMat-Bulk
Functional: PBE
Structure: optimized geometry

Cell lengths 4.909, 4.909, 4.909 Å; angles 60.00, 60.00, 60.00 degrees
Atoms (fractional coordinates):
Ho (0.000, 0.000, 0.000)
Cu (0.500, 0.500, 0.500)
Hg (0.250, 0.250, 0.250)
Hg (0.750, 0.750, 0.750)

As for the space group: Fm-3m. As for the calculated formation energy: -224 meV/atom.



Compound: Ho2CuHg
Source: Alexandria via LeMat-Bulk
Functional: PBE
Structure: optimized geometry

Cell lengths 3.527, 3.527, 7.408 Å; angles 90.00, 90.00, 90.00 degrees
Atoms (fractional coordinates):
Ho (0.000, 0.000, 0.227)
Ho (0.000, 0.000, 0.773)
Cu (0.500, 0.500, 0.000)
Hg (0.500, 0.500, 0.500)

As for the space group: P4/mmm. As for the calculated formation energy: -364 meV/atom.



Compound: HoCuHg
Source: Alexandria via LeMat-Bulk
Functional: PBE
Structure: optimized geometry

Cell lengths 4.620, 4.620, 3.410 Å; angles 90.00, 90.00, 120.00 degrees
Atoms (fractional coordinates):
Ho (0.000, 0.000, 0.000)
Cu (0.667, 0.333, 0.502)
Hg (0.333, 0.667, 0.500)

As for the space group: P3m1. As for the calculated formation energy: -309 meV/atom.



Compound: HoCuHg
Source: Alexandria via LeMat-Bulk
Functional: PBE
Structure: optimized geometry

Cell lengths 5.349, 5.349, 5.349 Å; angles 139.92, 139.92, 57.97 degrees
Atoms (fractional coordinates):
Ho (0.000, 0.000, 0.000)
Cu (0.334, 0.334, 0.000)
Hg (0.682, 0.682, 0.000)

As for the space group: I4mm. As for the calculated formation energy: -242 meV/atom.



Compound: LaHoCuHg
Source: Alexandria via LeMat-Bulk
Functional: PBE
Structure: optimized geometry

Cell lengths 5.243, 5.243, 5.243 Å; angles 60.00, 60.00, 60.00 degrees
Atoms (fractional coordinates):
La (0.000, 0.000, 0.000)
Ho (0.500, 0.500, 0.500)
Cu (0.250, 0.250, 0.250)
Hg (0.750, 0.750, 0.750)

As for the space group: F-43m. As for the calculated formation energy: -294 meV/atom.



Compound: LiHoCuHg
Source: Alexandria via LeMat-Bulk
Functional: PBE
Structure: optimized geometry

Cell lengths 4.704, 4.704, 4.704 Å; angles 60.00, 60.00, 60.00 degrees
Atoms (fractional coordinates):
Li (0.000, 0.000, 0.000)
Ho (0.750, 0.750, 0.750)
Cu (0.500, 0.500, 0.500)
Hg (0.250, 0.250, 0.250)

As for the space group: F-43m. As for the calculated formation energy: -227 meV/atom.



Compound: HoMgCuHg
Source: Alexandria via LeMat-Bulk
Functional: PBE
Structure: optimized geometry

Cell lengths 4.887, 4.887, 4.887 Å; angles 60.00, 60.00, 60.00 degrees
Atoms (fractional coordinates):
Ho (0.000, 0.000, 0.000)
Mg (0.500, 0.500, 0.500)
Cu (0.250, 0.250, 0.250)
Hg (0.750, 0.750, 0.750)

As for the space group: F-43m. As for the calculated formation energy: -315 meV/atom.



Compound: NdHoCuHg
Source: Alexandria via LeMat-Bulk
Functional: PBE
Structure: optimized geometry

Cell lengths 5.186, 5.186, 5.186 Å; angles 60.00, 60.00, 60.00 degrees
Atoms (fractional coordinates):
Nd (0.000, 0.000, 0.000)
Ho (0.500, 0.500, 0.500)
Cu (0.250, 0.250, 0.250)
Hg (0.750, 0.750, 0.750)

As for the space group: F-43m. As for the calculated formation energy: -300 meV/atom.



Compound: Ho2CuHgO5
Source: Alexandria via LeMat-Bulk
Functional: PBE
Structure: optimized geometry

Cell lengths 6.561, 6.561, 5.506 Å; angles 90.00, 90.00, 90.00 degrees
Atoms (fractional coordinates):
Ho (0.174, 0.326, 0.000)
Ho (0.326, 0.826, 0.000)
Ho (0.674, 0.174, 0.000)
Ho (0.826, 0.674, 0.000)
Cu (0.000, 0.500, 0.500)
Cu (0.500, 0.000, 0.500)
Hg (0.000, 0.000, 0.500)
Hg (0.500, 0.500, 0.500)
O (0.000, 0.000, 0.000)
O (0.133, 0.633, 0.245)
O (0.133, 0.633, 0.755)
O (0.367, 0.133, 0.245)
O (0.367, 0.133, 0.755)
O (0.500, 0.500, 0.000)
O (0.633, 0.867, 0.245)
O (0.633, 0.867, 0.755)
O (0.867, 0.367, 0.245)
O (0.867, 0.367, 0.755)

As for the space group: P4/mbm. For the formation energy without anion corrections, the calculation gives -2.007 eV/atom.



Compound: HoCuHgPd
Source: Alexandria via LeMat-Bulk
Functional: PBE
Structure: optimized geometry

Cell lengths 4.754, 4.754, 4.754 Å; angles 60.00, 60.00, 60.00 degrees
Atoms (fractional coordinates):
Ho (0.000, 0.000, 0.000)
Cu (0.250, 0.250, 0.250)
Hg (0.500, 0.500, 0.500)
Pd (0.750, 0.750, 0.750)

As for the space group: F-43m. As for the calculated formation energy: -427 meV/atom.



Compound: PmHoCuHg
Source: Alexandria via LeMat-Bulk
Functional: PBE
Structure: optimized geometry

Cell lengths 5.166, 5.166, 5.166 Å; angles 60.00, 60.00, 60.00 degrees
Atoms (fractional coordinates):
Pm (0.000, 0.000, 0.000)
Ho (0.500, 0.500, 0.500)
Cu (0.250, 0.250, 0.250)
Hg (0.750, 0.750, 0.750)

As for the space group: F-43m. Its distance to the lowest polymorph of the same formula is 0.102 eV per formula unit. As for the calculated formation energy: -310 meV/atom.



Compound: PmHoCuHg
Source: Alexandria via LeMat-Bulk
Functional: PBE
Structure: optimized geometry

Cell lengths 3.586, 3.586, 7.491 Å; angles 90.00, 90.00, 90.00 degrees
Atoms (fractional coordinates):
Pm (0.000, 0.000, 0.000)
Ho (0.000, 0.000, 0.543)
Cu (0.500, 0.500, 0.751)
Hg (0.500, 0.500, 0.284)

As for the space group: P4mm. Its distance to the lowest polymorph of the same formula is 0.000 eV per formula unit. As for the calculated formation energy: -335 meV/atom.



Compound: PrHoCuHg
Source: Alexandria via LeMat-Bulk
Functional: PBE
Structure: optimized geometry

Cell lengths 5.208, 5.208, 5.208 Å; angles 60.00, 60.00, 60.00 degrees
Atoms (fractional coordinates):
Pr (0.000, 0.000, 0.000)
Ho (0.500, 0.500, 0.500)
Cu (0.750, 0.750, 0.750)
Hg (0.250, 0.250, 0.250)

As for the space group: F-43m. As for the calculated formation energy: -290 meV/atom.



Compound: HoCuHgPt
Source: Alexandria via LeMat-Bulk
Functional: PBE
Structure: optimized geometry

Cell lengths 4.763, 4.763, 4.763 Å; angles 60.00, 60.00, 60.00 degrees
Atoms (fractional coordinates):
Ho (0.000, 0.000, 0.000)
Cu (0.250, 0.250, 0.250)
Hg (0.500, 0.500, 0.500)
Pt (0.750, 0.750, 0.750)

As for the space group: F-43m. As for the calculated formation energy: -490 meV/atom.



Compound: Ho4Cu2HgRh
Source: Alexandria via LeMat-Bulk
Functional: PBE
Structure: optimized geometry

Cell lengths 8.590, 8.590, 8.590 Å; angles 33.66, 33.66, 33.66 degrees
Atoms (fractional coordinates):
Ho (0.118, 0.118, 0.118)
Ho (0.370, 0.370, 0.370)
Ho (0.630, 0.630, 0.630)
Ho (0.882, 0.882, 0.882)
Cu (0.246, 0.246, 0.246)
Cu (0.754, 0.754, 0.754)
Hg (0.500, 0.500, 0.500)
Rh (0.000, 0.000, 0.000)

As for the space group: R-3m. As for the calculated formation energy: -482 meV/atom.



Compound: Ho4CuHgRu2
Source: Alexandria via LeMat-Bulk
Functional: PBE
Structure: optimized geometry

Cell lengths 8.541, 8.541, 8.541 Å; angles 33.49, 33.49, 33.49 degrees
Atoms (fractional coordinates):
Ho (0.120, 0.120, 0.120)
Ho (0.371, 0.371, 0.371)
Ho (0.629, 0.629, 0.629)
Ho (0.880, 0.880, 0.880)
Cu (0.000, 0.000, 0.000)
Hg (0.500, 0.500, 0.500)
Ru (0.251, 0.251, 0.251)
Ru (0.749, 0.749, 0.749)

As for the space group: R-3m. As for the calculated formation energy: -364 meV/atom.



Compound: TbHoCuHg
Source: Alexandria via LeMat-Bulk
Functional: PBE
Structure: optimized geometry

Cell lengths 5.107, 5.107, 5.107 Å; angles 60.00, 60.00, 60.00 degrees
Atoms (fractional coordinates):
Tb (0.000, 0.000, 0.000)
Ho (0.500, 0.500, 0.500)
Cu (0.250, 0.250, 0.250)
Hg (0.750, 0.750, 0.750)

As for the space group: F-43m. Its distance to the lowest polymorph of the same formula is 0.093 eV per formula unit. As for the calculated formation energy: -333 meV/atom.



Compound: TbHoCuHg
Source: Alexandria via LeMat-Bulk
Functional: PBE
Structure: optimized geometry

Cell lengths 3.549, 3.549, 7.414 Å; angles 90.00, 90.00, 90.00 degrees
Atoms (fractional coordinates):
Tb (0.000, 0.000, 0.000)
Ho (0.000, 0.000, 0.545)
Cu (0.500, 0.500, 0.767)
Hg (0.500, 0.500, 0.276)

As for the space group: P4mm. Its distance to the lowest polymorph of the same formula is 0.000 eV per formula unit. As for the calculated formation energy: -357 meV/atom.



Compound: Ho4Zn2CuHg
Source: Alexandria via LeMat-Bulk
Functional: PBE
Structure: optimized geometry

Cell lengths 8.753, 8.753, 8.753 Å; angles 33.57, 33.57, 33.57 degrees
Atoms (fractional coordinates):
Ho (0.120, 0.120, 0.120)
Ho (0.370, 0.370, 0.370)
Ho (0.630, 0.630, 0.630)
Ho (0.880, 0.880, 0.880)
Zn (0.249, 0.249, 0.249)
Zn (0.751, 0.751, 0.751)
Cu (0.000, 0.000, 0.000)
Hg (0.500, 0.500, 0.500)

As for the space group: R-3m. As for the calculated formation energy: -345 meV/atom.



Compound: HoZrCuHg
Source: Alexandria via LeMat-Bulk
Functional: PBE
Structure: optimized geometry

Cell lengths 4.960, 4.960, 4.960 Å; angles 60.00, 60.00, 60.00 degrees
Atoms (fractional coordinates):
Ho (0.000, 0.000, 0.000)
Zr (0.500, 0.500, 0.500)
Cu (0.250, 0.250, 0.250)
Hg (0.750, 0.750, 0.750)

As for the space group: F-43m. As for the calculated formation energy: -148 meV/atom.



Compound: Cu2HgI
Source: Alexandria via LeMat-Bulk
Functional: PBE
Structure: optimized geometry

Cell lengths 4.908, 4.908, 4.908 Å; angles 60.00, 60.00, 60.00 degrees
Atoms (fractional coordinates):
Cu (0.250, 0.250, 0.250)
Cu (0.750, 0.750, 0.750)
Hg (0.000, 0.000, 0.000)
I (0.500, 0.500, 0.500)

As for the space group: Fm-3m. Its distance to the lowest polymorph of the same formula is 0.651 eV per formula unit. For the formation energy without anion corrections, the calculation gives 0.527 eV/atom.



Compound: CuHgI4
Source: Alexandria via LeMat-Bulk
Functional: PBE
Structure: optimized geometry

Cell lengths 6.324, 6.324, 11.906 Å; angles 90.00, 90.00, 90.00 degrees
Atoms (fractional coordinates):
Cu (0.000, 0.000, 0.000)
Cu (0.000, 0.000, 0.500)
Hg (0.000, 0.500, 0.250)
Hg (0.500, 0.000, 0.750)
I (0.230, 0.260, 0.884)
I (0.230, 0.740, 0.616)
I (0.260, 0.230, 0.384)
I (0.260, 0.770, 0.116)
I (0.740, 0.230, 0.116)
I (0.740, 0.770, 0.384)
I (0.770, 0.260, 0.616)
I (0.770, 0.740, 0.884)

As for the space group: P-42c. Its distance to the lowest polymorph of the same formula is 0.043 eV per formula unit. For the formation energy without anion corrections, the calculation gives -0.160 eV/atom.